First-principles (PBE) data for a relaxed Tb2Dy6YHo3 crystal, as listed in the Alexandria database.

```
Tb2Dy6YHo3
1.0
3.0700 -5.3101 0.0000
3.0700 5.3101 0.0000
-2.0294 0.0000 11.5646
Tb Dy Y Ho
2 6 1 3
Direct
0.1667 0.8333 0.0000
0.8333 0.1667 0.0000
0.0818 0.4158 0.7489
0.2503 0.2503 0.2513
0.4158 0.0818 0.7489
0.5842 0.9182 0.2511
0.7497 0.7497 0.7487
0.9182 0.5842 0.2511
0.5000 0.5000 0.0000
0.0000 0.0000 0.5000
0.3334 0.6666 0.5000
0.6666 0.3334 0.5000
```

Computed properties:
Calculated formation energy: 0.0172 eV/atom
Magnetization: 0.00 μB per formula unit
Total DFT energy (no corrections): -4.74 eV per atom